# SiP2Ru

A relaxed structure of SiP2Ru (PBE, Alexandria via LeMat-Bulk).

Summary:
- Raw total energy: -6.56 eV/atom
- Uncorrected formation energy: -0.1769 eV/atom
- Size of the total moment: 0.00 Bohr magnetons per cell
- Density of states at the Fermi level: 0.9 states/eV/cell

Cell and atoms, written as POSCAR:
```
SiP2Ru
1.0
3.678 -1.891 0.000
3.678 1.891 0.000
-0.030 0.000 4.513
Si P Ru
1 2 1
direct
0.000 0.000 0.000
0.415 0.415 0.719
0.760 0.760 0.310
0.120 0.120 0.498
```